Compound: Mg6BePd12
Source: Alexandria via LeMat-Bulk
Functional: PBE
Structure: optimized geometry

Symmetry: R-3, No. 148
Calculated density in g/cm3: 7.83
Energy of formation in eV per atom: -0.482
Calculated volume in Å³ per atom: 15.98
N(E_F) in states/eV per atom: 0.321

The structure in POSCAR format:
```
Mg6BePd12
1.0
4.904 2.831 3.645
-4.904 2.831 3.645
0.000 -5.663 3.645
Mg Be Pd
6 1 12
Cartesian
-2.810 0.598 4.855 Mg
-1.923 -2.135 6.080 Mg
0.887 -2.733 4.855 Mg
-0.887 2.733 6.080 Mg
1.923 2.135 4.855 Mg
2.810 -0.598 6.080 Mg
0.000 0.000 5.467 Be
-4.442 -1.203 6.167 Pd
-1.180 -4.448 4.767 Pd
-1.079 -1.195 3.735 Pd
-3.262 3.246 4.767 Pd
-0.495 1.532 3.735 Pd
1.574 -0.337 3.735 Pd
-1.574 0.337 7.199 Pd
0.495 -1.532 7.199 Pd
3.262 -3.246 6.167 Pd
1.079 1.195 7.199 Pd
1.180 4.448 6.167 Pd
4.442 1.203 4.767 Pd
```